YNbSe2Br: optimized geometry, PBE-GGA.

Summary:
crystal system	tetragonal
formation energy without anion corrections	-0.448	eV per atom

Cell and atoms, written as extended XYZ:
```
5
Lattice="-0.775 0.072 -5.017 0.795 -5.010 -0.194 -4.961 -0.816 0.754" Properties=species:S:1:pos:R:3 pbc="T T T"
Se 0.397 -2.505 -0.097
Br -2.480 -0.408 0.377
Se -0.387 0.036 -2.508
Y -2.470 -2.877 -2.228
Nb 0.000 0.000 0.000
```


CaAcNpN4: optimized geometry, PBE-GGA.

Summary:
crystal system	tetragonal
formation energy without anion corrections	-1.050	eV per atom

Cell and atoms, written as extended XYZ:
```
7
Lattice="-0.691 -1.584 -3.858 -1.764 -3.433 1.725 -4.509 5.381 0.915" Properties=species:S:1:pos:R:3 pbc="T T T"
Ca -4.057 2.031 -0.107
N -6.618 1.156 0.711
N -1.856 0.929 -0.049
N -5.127 -0.556 -1.169
Np -6.925 0.344 -1.217
Ac -2.931 -1.655 -1.112
N -6.082 2.080 -2.080
```


TbGd2Pa: optimized geometry, PBE-GGA.

Summary:
energy of formation	5.3	kcal/mol of atoms
crystal system	tetragonal

Cell and atoms, written as extended XYZ:
```
4
Lattice="-1.437 -3.982 2.547 4.698 -1.294 0.627 0.161 2.604 4.163" Properties=species:S:1:pos:R:3 pbc="T T T"
Gd 2.349 -0.647 0.314
Gd 0.081 1.302 2.082
Tb -0.718 -1.991 1.273
Pa 1.711 -1.336 3.669
```


GdInPtRh: optimized geometry, PBE-GGA.

Summary:
energy of formation	-17.6	kcal/mol of atoms
crystal system	cubic

Cell and atoms, written as extended XYZ:
```
4
Lattice="-3.867 -2.012 -1.976 0.062 -4.633 -1.201 -2.596 -3.154 2.495" Properties=species:S:1:pos:R:3 pbc="T T T"
Rh -1.600 -2.450 -0.170
Gd -3.201 -4.899 -0.341
Pt -4.801 -7.349 -0.511
In 0.000 0.000 0.000
```


Li2HgPb2: optimized geometry, PBE-GGA.

Summary:
energy of formation	-3.6	kcal/mol of atoms
crystal system	tetragonal

Cell and atoms, written as extended XYZ:
```
10
Lattice="-4.011 -6.573 3.208 3.161 -4.857 -6.000 2.768 -0.701 2.026" Properties=species:S:1:pos:R:3 pbc="T T T"
Li -0.906 -7.459 1.683
Li 1.352 -8.778 -1.858
Li 0.567 -3.353 1.092
Pb 1.271 -6.587 -4.016
Li 2.824 -4.672 -2.450
Hg 0.000 0.000 0.000
Pb -2.121 -4.844 1.224
Pb 0.604 -2.662 -1.746
Pb -1.454 -8.768 -1.046
Hg -0.425 -5.715 -1.396
```


LaSmSc2: optimized geometry, PBE-GGA.

Summary:
energy of formation	1.2	kcal/mol of atoms
crystal system	orthorhombic

Cell and atoms, written as extended XYZ:
```
4
Lattice="-2.593 2.489 0.347 -0.744 -1.546 5.528 4.025 4.145 0.341" Properties=species:S:1:pos:R:3 pbc="T T T"
La 0.344 2.544 3.108
Sc 2.013 2.072 0.171
Sm -1.296 1.245 0.173
Sc -0.372 -0.773 2.764
```